(1)
## CaDyCoCu (PBE)

Data for a relaxed CaDyCoCu crystal.

Results
* E: -4.431 eV/atom
* Fermi-level density of states: 0.5949 states/eV/atom
* SG: No. 216
* formation energy: 0.083 eV/f.u.
* ρ: 6.8 Mg/m³

```
CaDyCoCu
1.0
-1.887 -3.483 2.769
1.607 -4.541 -0.399
2.630 -1.954 3.553
Cu Ca Co Dy
1 1 1 1
Direct
0.000 0.000 0.000
0.750 0.750 0.750
0.500 0.500 0.500
0.250 0.250 0.250
```

(2)
## BaCaRu2 (PBE)

Data for a relaxed BaCaRu2 crystal.

Results
* E: -4.690 eV/atom
* Fermi-level density of states: 1.6520 states/eV/atom
* SG: No. 166
* formation energy: 3.716 eV/f.u.
* E above lowest polymorph: 766 meV per atom
* ρ: 7.0 Mg/m³

```
BaCaRu2
1.0
9.481 0.013 0.008
8.882 3.316 0.008
8.882 1.610 2.898
Ba Ca Ru
1 1 2
Direct
0.250 0.250 0.250
0.750 0.750 0.750
0.003 0.003 0.003
0.497 0.497 0.497
```

(3)
## NaSeN2 (PBE)

Data for a relaxed NaSeN2 crystal.

Results
* E: -4.341 eV/atom
* Fermi-level density of states: 0.5422 states/eV/atom
* SG: No. 166
* E_form (uncorrected): 1.023 eV per atom
* ρ: 3.9 Mg/m³

```
NaSeN2
1.0
-3.995 -1.635 5.415
-1.147 -2.312 6.427
-2.180 0.606 6.545
Na N Se
1 2 1
Direct
0.000 0.000 0.000
0.112 0.112 0.112
0.888 0.888 0.888
0.500 0.500 0.500
```

(4)
## Na2Sr6Ca3 (PBE)

Data for a relaxed Na2Sr6Ca3 crystal.

Results
* E: -1.609 eV/atom
* Fermi-level density of states: 1.0958 states/eV/atom
* SG: No. 12
* formation energy: 1.039 eV/f.u.
* ρ: 2.1 Mg/m³

```
Na2Sr6Ca3
1.0
12.910 0.000 2.401
6.455 7.309 1.200
2.401 0.000 6.195
Ca Sr Na
3 6 2
Direct
0.730 0.540 0.000
0.000 0.000 0.000
0.270 0.460 0.000
0.299 0.000 0.205
0.847 0.683 0.308
0.530 0.317 0.308
0.701 0.000 0.795
0.470 0.683 0.692
0.153 0.317 0.692
0.128 0.744 0.500
0.872 0.256 0.500
```

(5)
## Sc2NbCl (PBE)

Data for a relaxed Sc2NbCl crystal.

Results
* E: -6.106 eV/atom
* Fermi-level density of states: 0.7931 states/eV/atom
* SG: No. 122
* E above lowest polymorph: 383 meV per atom
* E_form (uncorrected): 0.039 eV per atom
* ρ: 4.4 Mg/m³

```
Sc2NbCl
1.0
-3.549 -4.605 5.442
-2.201 -5.075 -5.729
-0.669 -6.160 0.178
Nb Sc Cl
2 4 2
Direct
0.750 0.250 0.500
0.000 0.000 0.000
0.541 0.125 0.250
0.375 0.459 0.750
0.875 0.791 0.750
0.209 0.625 0.250
0.500 0.500 0.000
0.250 0.750 0.500
```

(6)
## LaCl2 (PBE)

Data for a relaxed LaCl2 crystal.

Results
* E: -4.920 eV/atom
* Fermi-level density of states: 0.7569 states/eV/atom
* SG: No. 12
* E_form (uncorrected): -2.047 eV per atom
* ρ: 3.5 Mg/m³

```
LaCl2
1.0
4.002 0.002 -0.001
2.003 3.465 0.008
0.011 2.282 7.134
Cl La
2 1
Direct
0.757 0.497 0.248
0.254 0.504 0.741
0.505 0.001 0.494
```

(7)
## Sr2ReSnCl (PBE)

Data for a relaxed Sr2ReSnCl crystal.

Results
* E: -4.186 eV/atom
* Fermi-level density of states: 0.8129 states/eV/atom
* SG: No. 123
* E_form (uncorrected): 0.146 eV per atom
* ρ: 6.0 Mg/m³

```
Sr2ReSnCl
1.0
5.667 0.000 0.000
0.000 4.420 0.000
0.000 0.000 5.667
Cl Sr Sn Re
1 2 1 1
Direct
0.000 0.000 0.000
0.500 0.000 0.000
0.000 0.000 0.500
0.500 0.500 0.500
0.000 0.500 0.000
```

(8)
## Ce2ErSi2Pt7 (PBE)

Data for a relaxed Ce2ErSi2Pt7 crystal.

Results
* E: -6.901 eV/atom
* Fermi-level density of states: 1.2960 states/eV/atom
* SG: No. 12
* E_form (uncorrected): -1.104 eV per atom
* ρ: 13.6 Mg/m³

```
Ce2ErSi2Pt7
1.0
4.075 0.025 -0.095
0.030 4.075 -0.095
1.667 1.665 13.645
Pt Si Er Ce
7 2 1 2
Direct
0.447 0.946 0.157
0.500 0.500 0.000
0.618 0.618 0.577
0.946 0.447 0.157
0.553 0.054 0.843
0.382 0.382 0.423
0.054 0.553 0.843
0.415 0.415 0.250
0.585 0.585 0.750
0.000 0.000 0.000
0.107 0.107 0.645
0.893 0.893 0.355
```

(9)
## UFe4Ir (PBE)

Data for a relaxed UFe4Ir crystal.

Results
* E: -9.047 eV/atom
* Fermi-level density of states: 1.9057 states/eV/atom
* SG: No. 216
* formation energy: -0.283 eV/f.u.
* ρ: 12.9 Mg/m³

```
UFe4Ir
1.0
4.923 0.000 0.000
2.462 4.264 0.000
2.462 1.421 4.020
Fe Ir U
4 1 1
Direct
0.626 0.123 0.626
0.626 0.626 0.123
0.626 0.626 0.626
0.123 0.626 0.626
0.000 0.000 0.000
0.250 0.250 0.250
```

(10)
## La2Nd3Er8 (PBE)

Data for a relaxed La2Nd3Er8 crystal.

Results
* E: -4.409 eV/atom
* Fermi-level density of states: 1.7996 states/eV/atom
* SG: No. 12
* formation energy: 3.343 eV/f.u.
* ρ: 7.6 Mg/m³

```
La2Nd3Er8
1.0
5.512 0.000 0.688
0.000 7.689 0.000
-1.303 -3.845 10.413
Nd Er La
3 8 2
Direct
0.000 0.705 0.000
0.500 0.000 0.000
0.000 0.295 0.000
0.000 0.660 0.320
0.500 0.181 0.785
0.000 0.127 0.253
0.500 0.396 0.215
0.500 0.604 0.785
0.000 0.873 0.747
0.000 0.340 0.680
0.500 0.819 0.215
0.499 0.241 0.481
0.501 0.759 0.519
```

- Which formula does entry 9 have?
  UFe4Ir

- The highest E belongs to which entry?
  Na2Sr6Ca3

- Number 9 is which compound?
  UFe4Ir